Density functional theory data (PBE) for a geometry-optimized Pr5NdSmTm2 structure.

The structure in extended XYZ format:
```
18
Lattice="2.868 -10.321 0.000 2.868 10.321 0.000 0.000 0.000 10.708" Properties=species:S:1:pos:R:3 pbc="T T T"
Pr 2.868 9.989 5.354
Pr 2.868 4.536 8.461
Pr 2.868 4.220 1.960
Pr 2.868 2.296 5.402
Pr 2.868 0.462 2.359
Pr 2.868 -0.462 7.713
Pr 2.868 -2.296 0.048
Pr 2.868 -4.220 7.314
Pr 2.868 -4.536 3.107
Pr 2.868 -9.989 0.000
Nd 2.868 1.814 9.949
Nd 2.868 -1.814 4.595
Sm 2.868 6.219 5.239
Sm 2.868 -6.219 10.593
Tm 2.868 8.001 2.298
Tm 2.868 7.902 8.548
Tm 2.868 -7.902 3.194
Tm 2.868 -8.001 7.652
```

**Raw total energy**: -4.556 eV/atom
**Space group**: No. 36